# GaHWO2 (GGA+U, relaxed)
# - electronic total energy (eV per atom) = -4.9636
# - SG = No. 123
# - crystal system = tetragonal
data_GaHWO2
_space_group_name_H-M_alt 'P 1'
_space_group_IT_number 1
_cell_length_a 4.036
_cell_length_b 3.375
_cell_length_c 4.036
_cell_angle_alpha 90.00
_cell_angle_beta 90.00
_cell_angle_gamma 90.00
loop_
_space_group_symop_operation_xyz
'x,y,z'
loop_
_atom_site_label
_atom_site_fract_x
_atom_site_fract_y
_atom_site_fract_z
O1 0.500 0.000 0.000
O2 0.000 0.000 0.500
H1 0.000 0.500 0.000
Ga1 0.000 0.000 0.000
W1 0.500 0.500 0.500